Compound: Ta2AgPt
Source: Alexandria via LeMat-Bulk
Functional: SCAN
Structure: single point on PBEsol structure

a = 2.7923 Å, b = 5.0095 Å, c = 5.0096 Å
α = 111.84°, β = 90.00°, γ = 90.00°
With the nearest neighbours (Å) after each atom.
Element x y z (fractional)
Ag1 0.5000 0.0000 0.0000  2 Ag 2.79, 2 Pt 2.81, 8 Ta 2.87
Pt1 0.5000 0.5000 0.5000  2 Pt 2.79, 2 Ag 2.81, 8 Ta 2.87
Ta1 0.0000 0.5000 0.0000  4 Ta 2.79-2.81, 4 Ag 2.87, 4 Pt 2.87
Ta2 0.0000 0.0000 0.5000  4 Ta 2.79-2.81, 4 Pt 2.87, 4 Ag 2.87

Volume (Å³ per atom): 16.26
Space-group type: Cmmm
Total magnetization (μB/f.u.): 0.0
VASP energy (eV/cell): -235.559